No. 1
YMgTe | Alexandria | PBE | relaxed; formation energy (no corrections) = -0.536 eV/atom; theoretical density = 4.37 g cm⁻³; final energy = -12.809 eV/cell; Fermi-level density of states = 1.022 states/eV per atom
1.0
4.032 0.000 0.000
-2.016 3.492 0.000
0.000 0.000 6.506
Y Mg Te
1 1 1
direct
0.000 0.000 0.000 Y
0.667 0.333 0.391 Mg
0.333 0.667 0.692 Te

---

No. 2
Pm2Ho3PuS6 | Alexandria | PBE | relaxed; formation energy (no corrections) = -1.982 eV/atom; theoretical density = 7.78 g cm⁻³; final energy = -86.120 eV/cell; Fermi-level density of states = 0.651 states/eV per atom
1.0
8.618 -1.959 0.000
8.618 1.959 0.000
-1.900 0.000 7.716
Pm Ho Pu S
2 3 1 6
direct
0.165 0.165 0.331 Pm
0.835 0.835 0.669 Pm
0.167 0.167 0.836 Ho
0.500 0.500 0.500 Ho
0.833 0.833 0.164 Ho
0.500 0.500 0.000 Pu
0.003 0.003 0.747 S
0.332 0.332 0.924 S
0.336 0.336 0.408 S
0.664 0.664 0.592 S
0.668 0.668 0.076 S
0.997 0.997 0.253 S

---

No. 3
NaInC | Alexandria | PBE | relaxed; energy of formation = 0.340 eV/atom; theoretical density = 4.35 g cm⁻³; final energy = -49.042 eV/cell; Fermi-level density of states = 0.340 states/eV per atom
1.0
3.703 0.000 0.000
0.000 22.447 0.000
0.000 0.000 2.750
Na In C
4 4 4
direct
0.000 0.077 0.250 Na
0.000 0.923 0.750 Na
0.500 0.423 0.750 Na
0.500 0.577 0.250 Na
0.000 0.301 0.750 In
0.000 0.699 0.250 In
0.500 0.199 0.250 In
0.500 0.801 0.750 In
0.000 0.494 0.250 C
0.000 0.506 0.750 C
0.500 0.006 0.750 C
0.500 0.994 0.250 C

---

No. 4
LiNdEuIn | Alexandria | PBE | relaxed; energy of formation = -0.237 eV/atom; theoretical density = 5.88 g cm⁻³; final energy = -82.569 eV/cell; Fermi-level density of states = 2.784 states/eV per atom
1.0
7.787 0.000 0.000
0.000 7.787 0.000
0.000 0.000 7.787
Li Nd Eu In
4 4 4 4
direct
0.000 0.000 0.000 Li
0.000 0.500 0.500 Li
0.500 0.000 0.500 Li
0.500 0.500 0.000 Li
0.250 0.250 0.750 Nd
0.250 0.750 0.250 Nd
0.750 0.250 0.250 Nd
0.750 0.750 0.750 Nd
0.250 0.250 0.250 Eu
0.250 0.750 0.750 Eu
0.750 0.250 0.750 Eu
0.750 0.750 0.250 Eu
0.000 0.000 0.500 In
0.000 0.500 0.000 In
0.500 0.000 0.000 In
0.500 0.500 0.500 In